# Mn3AgC

A geometry-optimized Mn3AgC structure (PBE, Alexandria).

a b c (Å): 3.9631 3.9631 3.9631
angles (deg): 90.00 90.00 90.00
Closest atoms and distances in Å follow each position.
Space group Pm-3m (No. 221)
Asymmetric unit:
Mn (0.0000, 0.0000, 0.5000)  2 C 1.98
Ag (0.5000, 0.5000, 0.5000)  12 Mn 2.80
C (0.0000, 0.0000, 0.0000)  6 Mn 1.98

Calculated values
* total DFT energy (no corrections): -7.77 eV/atom
* ΔE to the lowest computed polymorph: 0 meV per atom
* mass density: 7.59 g cm⁻³
* D(E_F): 0.552 states/eV/atom
* energy of formation from the pure elements: 0.72 eV per formula unit

# Mn3AgC

A geometry-optimized Mn3AgC structure (PBE, Alexandria).

a b c (Å): 4.8840 4.8840 4.8840
angles (deg): 90.00 90.00 90.00
Closest atoms and distances in Å follow each position.
Space group Pm-3m (No. 221)
Asymmetric unit:
Mn (0.0000, 0.0000, 0.5000)  2 Ag 2.44
Ag (0.0000, 0.0000, 0.0000)  6 Mn 2.44
C (0.5000, 0.5000, 0.5000)  12 Mn 3.45

Calculated values
* total DFT energy (no corrections): -5.61 eV/atom
* ΔE to the lowest computed polymorph: 2166 meV per atom
* mass density: 4.06 g cm⁻³
* D(E_F): 0.772 states/eV/atom
* energy of formation from the pure elements: 11.55 eV per formula unit

# MnAg2C

A geometry-optimized MnAg2C structure (PBE, Alexandria).

a b c (Å): 3.6322 3.6322 19.0208
angles (deg): 90.00 90.00 90.00
Closest atoms and distances in Å follow each position.
Space group I-42d (No. 122)
Asymmetric unit:
Mn (0.0000, 0.0000, 0.0000)  4 C 2.57, 4 Ag 2.71
Ag (0.2446, 0.2500, 0.6250)  4 Ag 2.54-2.60, 2 C 2.70, 2 Mn 2.71
C (0.0000, 0.0000, 0.5000)  4 Mn 2.57, 4 Ag 2.70

Calculated values
* total DFT energy (no corrections): -4.69 eV/atom
* mass density: 7.48 g cm⁻³
* D(E_F): 0.495 states/eV/atom
* energy of formation from the pure elements: 5.34 eV per formula unit

# Mn2NiAgC

A geometry-optimized Mn2NiAgC structure (PBE, Alexandria).

a b c (Å): 3.9754 3.9754 3.8648
angles (deg): 90.00 90.00 90.00
Closest atoms and distances in Å follow each position.
Space group P4/mmm (No. 123)
Asymmetric unit:
Mn (0.0000, 0.5000, 0.0000)  2 C 1.99
Ni (0.0000, 0.0000, 0.5000)  2 C 1.93
Ag (0.5000, 0.5000, 0.5000)  8 Mn 2.77, 4 Ni 2.81
C (0.0000, 0.0000, 0.0000)  2 Ni 1.93, 4 Mn 1.99

Calculated values
* total DFT energy (no corrections): -7.10 eV/atom
* mass density: 7.84 g cm⁻³
* D(E_F): 0.963 states/eV/atom
* energy of formation from the pure elements: 0.69 eV per formula unit